1.
# Na2TaAlGe

An optimized crystal structure of Na2TaAlGe (GGA-PBE, the Alexandria database).

The space group is P4/mmm, No. 123. The calculation puts the formation enthalpy at 0 K at 0.849 eV per atom. For the raw total energy, the calculation gives -3.721 eV per atom. As for the total magnetization: 0.0 μB/f.u.

Unit cell a=4.995 b=4.995 c=5.060 alpha=90.00 beta=90.00 gamma=90.00
Fractional positions:
Na 0.000 0.500 0.000
Na 0.500 0.000 0.000
Ta 0.000 0.000 0.500
Al 0.500 0.500 0.500
Ge 0.000 0.000 0.000

=====

2.
# Nd2SmEr6

An optimized crystal structure of Nd2SmEr6 (GGA-PBE, the Alexandria database).

The space group is C2/c, No. 15. The calculation puts the formation enthalpy at 0 K at 0.106 eV per atom. The calculation puts the energy above the lowest structure with this stoichiometry at 0.030 eV/atom. For the raw total energy, the calculation gives -4.519 eV per atom. As for the total magnetization: 0.0 μB/f.u.

Unit cell a=9.555 b=9.555 c=6.561 alpha=98.75 beta=98.75 gamma=95.63
Fractional positions:
Nd 0.116 0.170 0.374
Nd 0.170 0.116 0.874
Nd 0.830 0.884 0.126
Nd 0.884 0.830 0.626
Sm 0.381 0.619 0.750
Sm 0.619 0.381 0.250
Er 0.038 0.443 0.733
Er 0.154 0.777 0.999
Er 0.223 0.846 0.501
Er 0.280 0.455 0.183
Er 0.443 0.038 0.233
Er 0.455 0.280 0.683
Er 0.545 0.720 0.317
Er 0.557 0.962 0.767
Er 0.720 0.545 0.817
Er 0.777 0.154 0.499
Er 0.846 0.223 0.001
Er 0.962 0.557 0.267

=====

3.
# CuNiOs

An optimized crystal structure of CuNiOs (GGA-PBE, the Alexandria database).

The space group is C2, No. 5. The calculation puts the formation enthalpy at 0 K at 0.146 eV per atom. The calculation puts the energy above the lowest structure with this stoichiometry at 0.000 eV/atom. For the raw total energy, the calculation gives -6.890 eV per atom. As for the total magnetization: 0.0 μB/f.u.

Unit cell a=4.497 b=7.772 c=4.539 alpha=90.00 beta=109.27 gamma=90.00
Fractional positions:
Cu 0.000 0.000 0.000
Cu 0.000 0.335 0.000
Cu 0.500 0.500 0.000
Cu 0.500 0.835 0.000
Ni 0.000 0.664 0.000
Ni 0.000 0.838 0.500
Ni 0.500 0.164 0.000
Ni 0.500 0.338 0.500
Os 0.000 0.174 0.500
Os 0.000 0.509 0.500
Os 0.500 0.009 0.500
Os 0.500 0.674 0.500

=====

4.
# Al2Zn3Cu4

An optimized crystal structure of Al2Zn3Cu4 (GGA-PBE, the Alexandria database).

The space group is P-3m1, No. 164. The calculation puts the formation enthalpy at 0 K at -0.118 eV per atom. For the raw total energy, the calculation gives -3.195 eV per atom. As for the total magnetization: 0.0 μB/f.u.

Unit cell a=4.206 b=4.206 c=7.801 alpha=90.00 beta=90.00 gamma=120.00
Fractional positions:
Al 0.333 0.667 0.284
Al 0.667 0.333 0.716
Zn 0.000 0.000 0.500
Zn 0.333 0.667 0.936
Zn 0.667 0.333 0.064
Cu 0.000 0.000 0.167
Cu 0.000 0.000 0.833
Cu 0.333 0.667 0.611
Cu 0.667 0.333 0.389

=====

5.
# Nd2TmGa3

An optimized crystal structure of Nd2TmGa3 (GGA-PBE, the Alexandria database).

The space group is Immm, No. 71. The calculation puts the formation enthalpy at 0 K at -0.326 eV per atom. The calculation puts the energy above the lowest structure with this stoichiometry at 0.227 eV/atom. For the raw total energy, the calculation gives -4.174 eV per atom. As for the total magnetization: 0.0 μB/f.u.

Unit cell a=3.643 b=6.087 c=14.628 alpha=90.00 beta=90.00 gamma=90.00
Fractional positions:
Nd 0.000 0.000 0.168
Nd 0.000 0.000 0.832
Nd 0.500 0.500 0.332
Nd 0.500 0.500 0.668
Tm 0.000 0.000 0.500
Tm 0.500 0.500 0.000
Ga 0.000 0.500 0.160
Ga 0.000 0.500 0.500
Ga 0.000 0.500 0.840
Ga 0.500 0.000 0.000
Ga 0.500 0.000 0.340
Ga 0.500 0.000 0.660

=====

6.
# Tc5Pt3

An optimized crystal structure of Tc5Pt3 (GGA-PBE, the Alexandria database).

The space group is Cmmm, No. 65. The calculation puts the formation enthalpy at 0 K at -0.119 eV per atom. The calculation puts the energy above the lowest structure with this stoichiometry at 0.061 eV/atom. For the raw total energy, the calculation gives -8.863 eV per atom. As for the total magnetization: 0.0 μB/f.u.

Unit cell a=7.730 b=7.909 c=3.875 alpha=90.00 beta=90.00 gamma=90.00
Fractional positions:
Tc 0.000 0.000 0.000
Tc 0.000 0.246 0.500
Tc 0.000 0.754 0.500
Tc 0.250 0.250 0.000
Tc 0.250 0.750 0.000
Tc 0.500 0.254 0.500
Tc 0.500 0.500 0.000
Tc 0.500 0.746 0.500
Tc 0.750 0.250 0.000
Tc 0.750 0.750 0.000
Pt 0.000 0.500 0.000
Pt 0.248 0.000 0.500
Pt 0.252 0.500 0.500
Pt 0.500 0.000 0.000
Pt 0.748 0.500 0.500
Pt 0.752 0.000 0.500

=====

7.
# LaTb2PmPr4

An optimized crystal structure of LaTb2PmPr4 (GGA-PBE, the Alexandria database).

The space group is P2/m, No. 10. The calculation puts the formation enthalpy at 0 K at 0.017 eV per atom. For the raw total energy, the calculation gives -4.740 eV per atom. As for the total magnetization: 0.0 μB/f.u.

Unit cell a=6.359 b=3.687 c=12.164 alpha=90.00 beta=100.26 gamma=90.00
Fractional positions:
La 0.000 0.000 0.000
Tb 0.000 0.500 0.500
Tb 0.500 0.000 0.500
Pm 0.500 0.500 0.000
Pr 0.250 0.000 0.746
Pr 0.250 0.500 0.255
Pr 0.750 0.000 0.254
Pr 0.750 0.500 0.745

=====

8.
# Sm2NCl2

An optimized crystal structure of Sm2NCl2 (GGA-PBE, the Alexandria database).

The space group is C2/m, No. 12. For the raw total energy, the calculation gives -6.196 eV per atom. As for the total magnetization: 0.0 μB/f.u. As for the uncorrected formation energy: -1904 meV per atom.

Unit cell a=6.431 b=3.713 c=10.617 alpha=90.00 beta=102.91 gamma=90.00
Fractional positions:
Sm 0.215 0.000 0.131
Sm 0.285 0.500 0.869
Sm 0.715 0.500 0.131
Sm 0.785 0.000 0.869
N 0.000 0.500 0.000
N 0.500 0.000 0.000
Cl 0.054 0.000 0.694
Cl 0.446 0.500 0.306
Cl 0.554 0.500 0.694
Cl 0.946 0.000 0.306

=====

Copy entry 1 word for word.
# Na2TaAlGe

An optimized crystal structure of Na2TaAlGe (GGA-PBE, the Alexandria database).

The space group is P4/mmm, No. 123. The calculation puts the formation enthalpy at 0 K at 0.849 eV per atom. For the raw total energy, the calculation gives -3.721 eV per atom. As for the total magnetization: 0.0 μB/f.u.

Unit cell a=4.995 b=4.995 c=5.060 alpha=90.00 beta=90.00 gamma=90.00
Fractional positions:
Na 0.000 0.500 0.000
Na 0.500 0.000 0.000
Ta 0.000 0.000 0.500
Al 0.500 0.500 0.500
Ge 0.000 0.000 0.000

=====

Q: Which formula does entry 7 have?
A: LaTb2PmPr4

=====

Q: raw total energy of number 6 (Tc5Pt3)?
A: -8.863 eV per atom